Below is a relaxed La2SiAg crystal, with properties calculated at the GGA-PBEsol level.

Properties
crystal system	orthorhombic
space-group type	Pmmm (47)

Unit cell a=3.4142 b=3.9223 c=7.4759 alpha=90.00 beta=90.00 gamma=90.00
Closest atoms and distances in Å follow each position.
Fractional positions:
1 Si 0.5000 0.5000 0.5000  8 La 3.13, 2 Si 3.41
2 Ag 0.5000 0.5000 0.0000  8 La 3.28, 2 Ag 3.41
3 La 0.0000 0.0000 0.2674  4 Si 3.13, 4 Ag 3.28, 3 La 3.41-3.48
4 La 0.0000 0.0000 0.7326  4 Si 3.13, 4 Ag 3.28, 3 La 3.41-3.48

=====

Below is a relaxed CoAgBr2 crystal, with properties calculated at the GGA-PBEsol level.

Properties
energy above the most stable polymorph in this dataset	0.80	eV per formula unit
crystal system	orthorhombic
space-group type	Imm2 (44)

Unit cell a=3.2559 b=3.9412 c=6.6369 alpha=107.27 beta=104.20 gamma=90.00
Closest atoms and distances in Å follow each position.
Fractional positions:
1 Co 0.4750 0.4750 0.9500  6 Br 2.61-2.64
2 Br 0.0281 0.0281 0.0563  4 Co 2.64, 2 Ag 2.78
3 Br 0.8087 0.3087 0.6173  2 Co 2.61
4 Ag 0.1882 0.6882 0.3763  6 Br 2.78-2.95, 2 Co 3.08

=====

Below is a relaxed CuRh2O4 crystal, with properties calculated at the GGA-PBEsol level.

Properties
crystal system	tetragonal
space-group type	I4_1/amd (141)

Unit cell a=5.9791 b=5.9791 c=5.9791 alpha=90.20 beta=119.89 gamma=119.89
Closest atoms and distances in Å follow each position.
Fractional positions:
1 Cu 0.5000 0.7500 0.2500  4 O 1.99
2 Cu 0.0000 0.0000 0.0000  4 O 1.99
3 Rh 0.2500 0.3750 0.6250  6 O 2.03
4 Rh 0.7500 0.3750 0.6250  6 O 2.03
5 Rh 0.2500 0.8750 0.6250  6 O 2.03
6 Rh 0.7500 0.3750 0.1250  6 O 2.03
7 O 0.2275 0.6146 0.8421  1 Cu 1.99, 3 Rh 2.03
8 O 0.7275 0.5921 0.8646  1 Cu 1.99, 3 Rh 2.03
9 O 0.2725 0.1371 0.8646  1 Cu 1.99, 3 Rh 2.03
10 O 0.7725 0.6146 0.3871  1 Cu 1.99, 3 Rh 2.03
11 O 0.2725 0.1354 0.4079  1 Cu 1.99, 3 Rh 2.03
12 O 0.7725 0.1579 0.3854  1 Cu 1.99, 3 Rh 2.03
13 O 0.2275 0.6129 0.3854  1 Cu 1.99, 3 Rh 2.03
14 O 0.7275 0.1354 0.8629  1 Cu 1.99, 3 Rh 2.03

=====

Below is a relaxed Sr2CaTl crystal, with properties calculated at the GGA-PBEsol level.

Properties
energy above the most stable polymorph in this dataset	0.07	eV per formula unit
crystal system	orthorhombic
space-group type	Imm2 (44)
formation energy	-0.2224	eV per atom

Unit cell a=4.0551 b=6.0446 c=7.2735 alpha=114.53 beta=106.19 gamma=90.00
Closest atoms and distances in Å follow each position.
Fractional positions:
1 Sr 0.0025 0.0025 0.0051  4 Tl 3.64, 4 Sr 3.96-4.06, 2 Ca 3.97
2 Sr 0.2060 0.7060 0.4120  2 Tl 3.36
3 Tl 0.4935 0.4935 0.9869  2 Ca 3.19, 2 Sr 3.36
4 Ca 0.7980 0.2980 0.5960  2 Tl 3.19

=====

Below is a relaxed Zr3Zn4 crystal, with properties calculated at the GGA-PBEsol level.

Properties
crystal system	tetragonal
space-group type	I4/mmm (139)
formation energy	-0.2043	eV per atom

Unit cell a=3.0055 b=3.0055 c=13.5284 alpha=96.38 beta=96.38 gamma=90.00
Closest atoms and distances in Å follow each position.
Fractional positions:
1 Zn 0.1298 0.1298 0.2596  4 Zn 2.61
2 Zn 0.4269 0.4269 0.8538  4 Zn 2.61, 4 Zr 2.89
3 Zn 0.5731 0.5731 0.1462  4 Zn 2.61, 4 Zr 2.89
4 Zn 0.8702 0.8702 0.7404  4 Zn 2.61
5 Zr 0.0000 0.0000 0.0000  8 Zn 2.89, 4 Zr 3.01
6 Zr 0.2938 0.2938 0.5876  4 Zn 2.95, 8 Zr 3.01-3.16
7 Zr 0.7062 0.7062 0.4124  4 Zn 2.95, 8 Zr 3.01-3.16

=====

Below is a relaxed CsTl2Sb2 crystal, with properties calculated at the GGA-PBEsol level.

Properties
energy above the most stable polymorph in this dataset	0.00	eV per formula unit
crystal system	tetragonal
space-group type	I4/mmm (139)

Unit cell a=5.2415 b=5.2415 c=7.4197 alpha=110.68 beta=110.68 gamma=90.00
Closest atoms and distances in Å follow each position.
Fractional positions:
1 Cs 0.0000 0.0000 0.0000  8 Sb 4.01, 8 Tl 4.15
2 Sb 0.3809 0.3809 0.7617  1 Sb 3.06, 4 Tl 3.11
3 Sb 0.6191 0.6191 0.2383  1 Sb 3.06, 4 Tl 3.11
4 Tl 0.2500 0.7500 0.5000  4 Sb 3.11
5 Tl 0.7500 0.2500 0.5000  4 Sb 3.11

=====

Below is a relaxed BaAs3 crystal, with properties calculated at the GGA-PBEsol level.

Properties
crystal system	monoclinic
space-group type	C2/m (12)
formation energy	-0.6192	eV per atom

Unit cell a=5.9875 b=6.3773 c=6.3773 alpha=105.40 beta=108.57 gamma=71.43
Closest atoms and distances in Å follow each position.
Fractional positions:
1 As 0.7914 0.9981 0.0019  3 As 2.47-2.51
2 As 0.2086 0.0019 0.9981  3 As 2.47-2.51
3 As 0.1853 0.4067 0.1304  2 As 2.47
4 As 0.8147 0.5933 0.8696  2 As 2.47
5 As 0.8147 0.1304 0.4067  2 As 2.47
6 As 0.1853 0.8696 0.5933  2 As 2.47
7 Ba 0.6639 0.6650 0.3350  9 As 3.25-3.51
8 Ba 0.3361 0.3350 0.6650  9 As 3.25-3.51

=====

Below is a relaxed CdMoRu crystal, with properties calculated at the GGA-PBEsol level.

Properties
energy above the most stable polymorph in this dataset	0.00	eV per formula unit
crystal system	tetragonal
space-group type	I4mm (107)
formation energy	0.1943	eV per atom

Unit cell a=2.9410 b=2.9410 c=5.9674 alpha=104.27 beta=104.27 gamma=90.00
Closest atoms and distances in Å follow each position.
Fractional positions:
1 Cd 0.9963 0.9963 0.9925  4 Ru 2.90, 4 Cd 2.94, 4 Mo 2.99
2 Mo 0.6878 0.6878 0.3756  4 Ru 2.53
3 Ru 0.3159 0.3159 0.6318  4 Mo 2.53

=====

Below is a relaxed Y3Sc2 crystal, with properties calculated at the GGA-PBEsol level.

Properties
crystal system	trigonal
space-group type	R-3m (166)
formation energy	0.0591	eV per atom

Unit cell a=3.4033 b=3.4033 c=13.8514 alpha=82.94 beta=82.94 gamma=60.00
Closest atoms and distances in Å follow each position.
Fractional positions:
1 Y 0.0000 0.0000 0.0000  6 Sc 3.34, 6 Y 3.40
2 Y 0.7976 0.7976 0.6070  3 Sc 3.33, 9 Y 3.40-3.53
3 Y 0.2024 0.2024 0.3930  3 Sc 3.33, 9 Y 3.40-3.53
4 Sc 0.6010 0.6010 0.1971  6 Y 3.33-3.34, 6 Sc 3.40
5 Sc 0.3990 0.3990 0.8029  6 Y 3.33-3.34, 6 Sc 3.40

=====

Below is a relaxed BaSc2FePt crystal, with properties calculated at the GGA-PBEsol level.

Properties
crystal system	tetragonal
space-group type	P4/mmm (123)
formation energy	1.7912	eV per atom

Unit cell a=5.0820 b=5.1565 c=5.1565 alpha=90.00 beta=90.00 gamma=90.00
Closest atoms and distances in Å follow each position.
Fractional positions:
1 Sc 0.0000 0.0000 0.5000  2 Ba 2.58
2 Sc 0.0000 0.5000 0.0000  2 Ba 2.58
3 Ba 0.0000 0.0000 0.0000  2 Pt 2.54, 4 Sc 2.58
4 Pt 0.5000 0.0000 0.0000  2 Ba 2.54
5 Fe 0.5000 0.5000 0.5000  8 Sc 3.62, 4 Pt 3.65

=====

Below is a relaxed VCl5 crystal, with properties calculated at the GGA-PBEsol level.

Properties
crystal system	triclinic
space-group type	P-1 (2)

Unit cell a=6.0767 b=6.5345 c=8.8045 alpha=109.11 beta=90.76 gamma=116.17
Closest atoms and distances in Å follow each position.
Fractional positions:
1 V 0.3953 0.2799 0.2776  4 Cl 2.14-2.20
2 V 0.6047 0.7201 0.7224  4 Cl 2.14-2.20
3 Cl 0.7323 0.6798 0.4562  2 V 2.45
4 Cl 0.2677 0.3202 0.5438  2 V 2.45
5 Cl 0.6165 0.1277 0.3508  1 V 2.19
6 Cl 0.3835 0.8723 0.6492  1 V 2.19
7 Cl 0.5751 0.3223 0.0737  1 V 2.15
8 Cl 0.4249 0.6777 0.9263  1 V 2.15
9 Cl 0.2020 0.4879 0.2545  1 V 2.20
10 Cl 0.7980 0.5121 0.7455  1 V 2.20
11 Cl 0.0658 0.9322 0.1736  1 V 2.14
12 Cl 0.9342 0.0678 0.8264  1 V 2.14

=====

Below is a relaxed Ir2RuPt crystal, with properties calculated at the GGA-PBEsol level.

Properties
energy above the most stable polymorph in this dataset	0.07	eV per formula unit
crystal system	tetragonal
space-group type	P4mm (99)
formation energy	0.0133	eV per atom

Unit cell a=2.7021 b=2.7021 c=7.7178 alpha=90.00 beta=90.00 gamma=90.00
Closest atoms and distances in Å follow each position.
Fractional positions:
1 Ru 0.5000 0.5000 0.7572  4 Ir 2.65, 4 Ru 2.70, 4 Pt 2.73
2 Ir 0.0000 0.0000 0.9956  4 Ru 2.65, 8 Ir 2.70
3 Ir 0.5000 0.5000 0.2433  8 Ir 2.70, 4 Pt 2.77
4 Pt 0.0000 0.0000 0.5040  4 Pt 2.70, 4 Ru 2.73, 4 Ir 2.77

=====

Below is a relaxed Ba2TaOs crystal, with properties calculated at the GGA-PBEsol level.

Properties
energy above the most stable polymorph in this dataset	0.00	eV per formula unit
crystal system	tetragonal
space-group type	P4mm (99)
formation energy	0.4080	eV per atom

Unit cell a=3.4240 b=3.4240 c=9.9895 alpha=90.00 beta=90.00 gamma=90.00
Closest atoms and distances in Å follow each position.
Fractional positions:
1 Os 0.0000 0.0000 0.5702  4 Ta 2.61
2 Ba 0.0000 0.0000 0.9388  4 Ba 3.42, 4 Ta 3.64, 1 Os 3.68
3 Ba 0.5000 0.5000 0.3245  1 Ta 3.42, 4 Ba 3.42, 4 Os 3.45
4 Ta 0.5000 0.5000 0.6666  4 Os 2.61

=====

Below is a relaxed LiAl2W crystal, with properties calculated at the GGA-PBEsol level.

Properties
energy above the most stable polymorph in this dataset	0.20	eV per formula unit
crystal system	tetragonal
space-group type	P4/mmm (123)
formation energy	-0.0111	eV per atom

Unit cell a=2.7211 b=2.7211 c=8.5265 alpha=90.00 beta=90.00 gamma=90.00
Closest atoms and distances in Å follow each position.
Fractional positions:
1 Al 0.0000 0.0000 0.7402  4 Al 2.72, 4 W 2.81, 4 Li 2.93
2 Al 0.0000 0.0000 0.2598  4 Al 2.72, 4 W 2.81, 4 Li 2.93
3 W 0.5000 0.5000 0.5000  4 W 2.72, 8 Al 2.81
4 Li 0.5000 0.5000 0.0000  4 Li 2.72, 8 Al 2.93

=====

Below is a relaxed Li2CoNi crystal, with properties calculated at the GGA-PBEsol level.

Properties
energy above the most stable polymorph in this dataset	0.00	eV per formula unit
crystal system	trigonal
space-group type	R-3m (166)
formation energy	0.0853	eV per atom

Unit cell a=2.4430 b=2.4430 c=8.5834 alpha=81.82 beta=81.82 gamma=60.00
Closest atoms and distances in Å follow each position.
Fractional positions:
1 Ni 0.5000 0.5000 0.5000  6 Ni 2.44, 6 Li 2.52
2 Co 0.0000 0.0000 0.0000  6 Co 2.44, 6 Li 2.57
3 Li 0.2487 0.2487 0.2538  6 Li 2.44, 3 Ni 2.52, 3 Co 2.57
4 Li 0.7513 0.7513 0.7462  6 Li 2.44, 3 Ni 2.52, 3 Co 2.57

=====

Below is a relaxed Tb4InIr crystal, with properties calculated at the GGA-PBEsol level.

Properties
crystal system	cubic
space-group type	F-43m (216)
formation energy	-0.5782	eV per atom

Unit cell a=9.5384 b=9.5384 c=9.5384 alpha=60.00 beta=60.00 gamma=60.00
Closest atoms and distances in Å follow each position.
Fractional positions:
1 Tb 0.1505 0.1505 0.1505  3 Ir 2.81
2 Tb 0.6909 0.3091 0.6909  2 Ir 2.78
3 Tb 0.3091 0.3091 0.6909  2 Ir 2.78
4 Tb 0.9405 0.9405 0.5595  2 In 3.21, 6 Tb 3.41-3.56, 2 Ir 3.41
5 Tb 0.6909 0.3091 0.3091  2 Ir 2.78
6 Tb 0.5595 0.9405 0.5595  2 In 3.21, 6 Tb 3.41-3.56, 2 Ir 3.41
7 Tb 0.1505 0.1505 0.5484  3 Ir 2.81
8 Tb 0.3091 0.6909 0.3091  2 Ir 2.78
9 Tb 0.5484 0.1505 0.1505  3 Ir 2.81
10 Tb 0.5595 0.5595 0.9405  2 In 3.21, 6 Tb 3.41-3.56, 2 Ir 3.41
11 Tb 0.9405 0.5595 0.9405  2 In 3.21, 6 Tb 3.41-3.56, 2 Ir 3.41
12 Tb 0.9405 0.5595 0.5595  2 In 3.21, 6 Tb 3.41-3.56, 2 Ir 3.41
13 Tb 0.5595 0.9405 0.9405  2 In 3.21, 6 Tb 3.41-3.56, 2 Ir 3.41
14 Tb 0.6909 0.6909 0.3091  2 Ir 2.78
15 Tb 0.1505 0.5484 0.1505  3 Ir 2.81
16 Tb 0.3091 0.6909 0.6909  2 Ir 2.78
17 In 0.9176 0.9176 0.2471  3 In 3.14, 9 Tb 3.21-3.44
18 In 0.9176 0.2471 0.9176  3 In 3.14, 9 Tb 3.21-3.44
19 In 0.9176 0.9176 0.9176  3 In 3.14, 9 Tb 3.21-3.44
20 In 0.2471 0.9176 0.9176  3 In 3.14, 9 Tb 3.21-3.44
21 Ir 0.3583 0.3583 0.9250  6 Tb 2.78-2.81
22 Ir 0.9250 0.3583 0.3583  6 Tb 2.78-2.81
23 Ir 0.3583 0.9250 0.3583  6 Tb 2.78-2.81
24 Ir 0.3583 0.3583 0.3583  6 Tb 2.78-2.81

=====

Below is a relaxed CaCl2 crystal, with properties calculated at the GGA-PBEsol level.

Properties
crystal system	orthorhombic
space-group type	Pbcn (60)

Unit cell a=6.2188 b=6.8614 c=7.5985 alpha=90.00 beta=90.00 gamma=90.00
Closest atoms and distances in Å follow each position.
Fractional positions:
1 Ca 0.0000 0.7500 0.1536  6 Cl 2.71-2.74
2 Ca 0.5000 0.2500 0.3464  6 Cl 2.71-2.74
3 Ca 0.0000 0.2500 0.8464  6 Cl 2.71-2.74
4 Ca 0.5000 0.7500 0.6536  6 Cl 2.71-2.74
5 Cl 0.2616 0.5779 0.3935  3 Ca 2.71-2.74
6 Cl 0.2384 0.0779 0.1065  3 Ca 2.71-2.74
7 Cl 0.7384 0.9221 0.3935  3 Ca 2.71-2.74
8 Cl 0.7616 0.4221 0.1065  3 Ca 2.71-2.74
9 Cl 0.7384 0.4221 0.6065  3 Ca 2.71-2.74
10 Cl 0.7616 0.9221 0.8935  3 Ca 2.71-2.74
11 Cl 0.2616 0.0779 0.6065  3 Ca 2.71-2.74
12 Cl 0.2384 0.5779 0.8935  3 Ca 2.71-2.74

=====

Below is a relaxed CuRu2Cl crystal, with properties calculated at the GGA-PBEsol level.

Properties
energy above the most stable polymorph in this dataset	0.00	eV per formula unit
crystal system	orthorhombic
space-group type	Pmm2 (25)

Unit cell a=2.8017 b=2.8097 c=7.3807 alpha=90.00 beta=90.00 gamma=90.00
Closest atoms and distances in Å follow each position.
Fractional positions:
1 Cl 0.0000 0.0000 0.4941  2 Ru 2.43, 2 Cu 2.48
2 Cu 0.5000 0.0000 0.7707  2 Cl 2.48, 4 Ru 2.66
3 Ru 0.0000 0.5000 0.0107  8 Ru 2.53-2.81, 4 Cu 2.66
4 Ru 0.5000 0.0000 0.2245  2 Cl 2.43, 4 Ru 2.53

=====

Below is a relaxed LiIn2Au crystal, with properties calculated at the GGA-PBEsol level.

Properties
crystal system	trigonal
space-group type	R-3m (166)
formation energy	-0.1698	eV per atom

Unit cell a=3.2349 b=3.2349 c=9.2804 alpha=79.96 beta=79.96 gamma=60.00
Closest atoms and distances in Å follow each position.
Fractional positions:
1 Au 0.0000 0.0000 0.0000  6 In 2.90, 6 Au 3.23
2 In 0.2522 0.2522 0.2435  3 Au 2.90, 3 Li 2.99, 6 In 3.23
3 In 0.7478 0.7478 0.7565  3 Au 2.90, 3 Li 2.99, 6 In 3.23
4 Li 0.5000 0.5000 0.5000  6 In 2.99, 6 Li 3.23

=====

Below is a relaxed Mg2ZnAu2 crystal, with properties calculated at the GGA-PBEsol level.

Properties
crystal system	tetragonal
space-group type	I4/mmm (139)
formation energy	-0.1152	eV per atom

Unit cell a=4.0393 b=4.0393 c=6.7061 alpha=107.53 beta=107.53 gamma=90.00
Closest atoms and distances in Å follow each position.
Fractional positions:
1 Zn 0.0000 0.0000 0.0000  8 Au 3.14
2 Au 0.3925 0.3925 0.7851  1 Au 2.61, 4 Mg 2.66
3 Au 0.6075 0.6075 0.2149  1 Au 2.61, 4 Mg 2.66
4 Mg 0.2500 0.7500 0.5000  4 Au 2.66, 4 Mg 2.86
5 Mg 0.7500 0.2500 0.5000  4 Au 2.66, 4 Mg 2.86

=====

no.,E_tot (eV per atom),volume (Å³/f.u.)
1,-5.3654,100
2,-3.4665,79
3,-6.6365,76
4,-2.3333,154
5,-5.0038,121
6,-3.2659,177
7,-4.9862,108
8,-7.5182,48
9,-6.6762,138
10,-4.4660,135
11,-4.2481,146
12,-9.1824,56
13,-6.8582,117
14,-6.0004,63
15,-4.3717,44
16,-6.0525,153
17,-4.4364,81
18,-6.4237,58
19,-3.1339,82
20,-2.6880,99